The following is a DFT calculation (PBE-GGA) of a geometry-optimized Li2CdTe structure.

a b c (Å): 5.1443 5.1443 5.1443
angles (deg): 60.00 60.00 60.00
Last column: nearest neighbours and their distance in Å.
Atoms (fractional coordinates):
Cd  0.5000  0.5000  0.5000  4 Li 3.15, 4 Te 3.15
Li  0.0000  0.0000  0.0000  4 Li 3.15, 4 Te 3.15
Li  0.2500  0.2500  0.2500  4 Cd 3.15, 4 Li 3.15
Te  0.7500  0.7500  0.7500  4 Cd 3.15, 4 Li 3.15

## Properties
The value obtained for the total energy is -2.247 eV/atom. The volume comes out at 96.3 Å³/cell. For the theoretical density, the calculation gives 4.4 g/cm3. The value obtained for the raw formation energy is -0.2763 eV per atom.